Record 1
! BaSbHI2 (PBE, relaxed); values from VASP
! Relative energy among the computed polymorphs (meV per atom): 0.0
! Symmetry: P4/mmm (123)
! Raw total energy (eV per cell): -14.773
! Density of states at the Fermi level (states/eV/f.u.): 2.387
&SYSTEM
  ibrav = 0, nat = 5, ntyp = 4
/
ATOMIC_SPECIES
Ba 137.33 Ba.upf
Sb 121.76 Sb.upf
H 1.01 H.upf
I 126.90 I.upf
CELL_PARAMETERS angstrom
5.947 0.000 0.000
0.000 5.947 0.000
0.000 0.000 4.211
ATOMIC_POSITIONS crystal
Ba 0.000 0.000 0.000
Sb 0.500 0.500 0.000
H 0.500 0.500 0.500
I 0.000 0.500 0.500
I 0.500 0.000 0.500



Record 2
! KMnCdP (PBE, relaxed); values from VASP
! Symmetry: P4/nmm (129)
! Raw total energy (eV per cell): -35.570
! Density of states at the Fermi level (states/eV/f.u.): 2.593
&SYSTEM
  ibrav = 0, nat = 8, ntyp = 4
/
ATOMIC_SPECIES
K 39.10 K.upf
Mn 54.94 Mn.upf
Cd 112.41 Cd.upf
P 30.97 P.upf
CELL_PARAMETERS angstrom
3.931 0.000 0.000
0.000 3.931 0.000
0.000 0.000 12.802
ATOMIC_POSITIONS crystal
K 0.250 0.250 0.241
K 0.750 0.750 0.759
Mn 0.250 0.750 0.000
Mn 0.750 0.250 0.000
Cd 0.250 0.750 0.500
Cd 0.750 0.250 0.500
P 0.250 0.250 0.909
P 0.750 0.750 0.091



Record 3
! K2Rb3Au2 (PBE, relaxed); values from VASP
! Symmetry: C2/m (12)
! Raw total energy (eV per cell): -12.846
! Density of states at the Fermi level (states/eV/f.u.): 4.347
&SYSTEM
  ibrav = 0, nat = 7, ntyp = 3
/
ATOMIC_SPECIES
K 39.10 K.upf
Rb 85.47 Rb.upf
Au 196.97 Au.upf
CELL_PARAMETERS angstrom
7.721 -2.425 0.000
7.721 2.425 0.000
-3.656 0.000 9.308
ATOMIC_POSITIONS crystal
K 0.176 0.176 0.330
K 0.824 0.824 0.670
Rb 0.372 0.372 0.065
Rb 0.500 0.500 0.500
Rb 0.628 0.628 0.935
Au 0.177 0.177 0.699
Au 0.823 0.823 0.301



Record 4
! Ta2TcHRh (PBE, relaxed); values from VASP
! Relative energy among the computed polymorphs (meV per atom): 5.2
! Symmetry: P4/mmm (123)
! Raw total energy (eV per cell): -45.927
! Density of states at the Fermi level (states/eV/f.u.): 4.824
&SYSTEM
  ibrav = 0, nat = 5, ntyp = 4
/
ATOMIC_SPECIES
Ta 180.95 Ta.upf
Tc 98.00 Tc.upf
H 1.01 H.upf
Rh 102.91 Rh.upf
CELL_PARAMETERS angstrom
4.258 0.000 0.000
0.000 4.258 0.000
0.000 0.000 3.704
ATOMIC_POSITIONS crystal
Ta 0.000 0.500 0.000
Ta 0.500 0.000 0.000
Tc 0.000 0.000 0.500
H 0.000 0.000 0.000
Rh 0.500 0.500 0.500



Record 5
! Tm6Ni2Rh (PBE, relaxed); values from VASP
! Relative energy among the computed polymorphs (meV per atom): 67.1
! Symmetry: P2_1/c (14)
! Raw total energy (eV per cell): -98.475
! Density of states at the Fermi level (states/eV/f.u.): 7.071
&SYSTEM
  ibrav = 0, nat = 18, ntyp = 3
/
ATOMIC_SPECIES
Tm 168.93 Tm.upf
Ni 58.69 Ni.upf
Rh 102.91 Rh.upf
CELL_PARAMETERS angstrom
6.307 0.000 0.000
0.000 7.018 0.000
-5.891 0.000 9.897
ATOMIC_POSITIONS crystal
Tm 0.083 0.184 0.426
Tm 0.083 0.316 0.926
Tm 0.243 0.671 0.422
Tm 0.243 0.829 0.922
Tm 0.407 0.050 0.246
Tm 0.407 0.450 0.746
Tm 0.593 0.550 0.254
Tm 0.593 0.950 0.754
Tm 0.757 0.171 0.078
Tm 0.757 0.329 0.578
Tm 0.917 0.684 0.074
Tm 0.917 0.816 0.574
Ni 0.180 0.115 0.737
Ni 0.180 0.385 0.237
Ni 0.820 0.615 0.763
Ni 0.820 0.885 0.263
Rh 0.500 0.000 0.500
Rh 0.500 0.500 0.000



Record 6
! AgP2IO (PBE, relaxed); values from VASP
! Formation energy from raw total energies (eV per atom): 0.99
! Relative energy among the computed polymorphs (meV per atom): 89.3
! Symmetry: P4/mmm (123)
! Raw total energy (eV per cell): -15.231
! Density of states at the Fermi level (states/eV/f.u.): 3.077
&SYSTEM
  ibrav = 0, nat = 5, ntyp = 4
/
ATOMIC_SPECIES
Ag 107.87 Ag.upf
P 30.97 P.upf
I 126.90 I.upf
O 16.00 O.upf
CELL_PARAMETERS angstrom
5.230 0.000 0.000
0.000 5.230 0.000
0.000 0.000 3.888
ATOMIC_POSITIONS crystal
Ag 0.000 0.000 0.000
P 0.000 0.500 0.500
P 0.500 0.000 0.500
I 0.500 0.500 0.500
O 0.500 0.500 0.000



Record 7
! Y2PtBr (PBE, relaxed); values from VASP
! Formation energy from raw total energies (eV per atom): -0.78
! Relative energy among the computed polymorphs (meV per atom): 465.6
! Symmetry: I-4m2 (119)
! Raw total energy (eV per cell): -23.762
! Density of states at the Fermi level (states/eV/f.u.): 3.135
&SYSTEM
  ibrav = 0, nat = 4, ntyp = 3
/
ATOMIC_SPECIES
Y 88.91 Y.upf
Pt 195.08 Pt.upf
Br 79.90 Br.upf
CELL_PARAMETERS angstrom
-2.027 2.027 5.980
2.027 -2.027 5.980
2.027 2.027 -5.980
ATOMIC_POSITIONS crystal
Y 0.000 0.000 0.000
Y 0.750 0.250 0.500
Pt 0.500 0.500 0.000
Br 0.250 0.750 0.500



Record 8
! Na2SrPd2 (PBE, relaxed); values from VASP
! Relative energy among the computed polymorphs (meV per atom): 0.0
! Symmetry: I4/mmm (139)
! Raw total energy (eV per cell): -15.903
! Density of states at the Fermi level (states/eV/f.u.): 1.383
&SYSTEM
  ibrav = 0, nat = 5, ntyp = 3
/
ATOMIC_SPECIES
Na 22.99 Na.upf
Sr 87.62 Sr.upf
Pd 106.42 Pd.upf
CELL_PARAMETERS angstrom
-2.150 2.150 6.781
2.150 -2.150 6.781
2.150 2.150 -6.781
ATOMIC_POSITIONS crystal
Na 0.250 0.750 0.500
Na 0.750 0.250 0.500
Sr 0.000 0.000 0.000
Pd 0.402 0.402 0.000
Pd 0.598 0.598 0.000



Record 9
! Ta2AgCl (PBE, relaxed); values from VASP
! Formation energy from raw total energies (eV per atom): 0.41
! Relative energy among the computed polymorphs (meV per atom): 466.1
! Symmetry: Cmmm (65)
! Raw total energy (eV per cell): -26.750
! Density of states at the Fermi level (states/eV/f.u.): 3.378
&SYSTEM
  ibrav = 0, nat = 4, ntyp = 3
/
ATOMIC_SPECIES
Ta 180.95 Ta.upf
Ag 107.87 Ag.upf
Cl 35.45 Cl.upf
CELL_PARAMETERS angstrom
1.479 -2.536 0.000
1.479 2.536 0.000
0.000 0.000 9.634
ATOMIC_POSITIONS crystal
Ta 0.000 0.000 0.237
Ta 0.000 0.000 0.763
Ag 0.500 0.500 0.500
Cl 0.500 0.500 0.000



Record 10
! BaScTl2 (PBE, relaxed); values from VASP
! Symmetry: R-3m (166)
! Raw total energy (eV per cell): -13.375
! Density of states at the Fermi level (states/eV/f.u.): 4.059
&SYSTEM
  ibrav = 0, nat = 4, ntyp = 3
/
ATOMIC_SPECIES
Ba 137.33 Ba.upf
Sc 44.96 Sc.upf
Tl 204.38 Tl.upf
CELL_PARAMETERS angstrom
1.878 1.084 10.396
-1.878 1.084 10.396
0.000 -2.169 10.396
ATOMIC_POSITIONS crystal
Ba 0.000 0.000 0.000
Sc 0.500 0.500 0.500
Tl 0.240 0.240 0.240
Tl 0.760 0.760 0.760



Record 11
! LiZn5Pd2 (PBE, relaxed); values from VASP
! Relative energy among the computed polymorphs (meV per atom): 73.2
! Symmetry: Immm (71)
! Raw total energy (eV per cell): -21.063
! Density of states at the Fermi level (states/eV/f.u.): 2.566
&SYSTEM
  ibrav = 0, nat = 8, ntyp = 3
/
ATOMIC_SPECIES
Li 6.94 Li.upf
Zn 65.41 Zn.upf
Pd 106.42 Pd.upf
CELL_PARAMETERS angstrom
-1.405 4.222 5.105
1.405 -4.222 5.105
1.405 4.222 -5.105
ATOMIC_POSITIONS crystal
Li 0.000 0.000 0.000
Zn 0.140 0.369 0.772
Zn 0.403 0.631 0.772
Zn 0.500 0.000 0.500
Zn 0.597 0.369 0.228
Zn 0.860 0.631 0.228
Pd 0.242 0.742 0.500
Pd 0.758 0.258 0.500



Record 12
! Zr3Mn5 (PBE, relaxed); values from VASP
! Symmetry: P6_3/mcm (193)
! Raw total energy (eV per cell): -137.843
! Density of states at the Fermi level (states/eV/f.u.): 6.787
&SYSTEM
  ibrav = 0, nat = 16, ntyp = 2
/
ATOMIC_SPECIES
Zr 91.22 Zr.upf
Mn 54.94 Mn.upf
CELL_PARAMETERS angstrom
7.967 0.000 0.000
-3.983 6.899 0.000
0.000 0.000 4.829
ATOMIC_POSITIONS crystal
Zr 0.000 0.387 0.250
Zr 0.000 0.613 0.750
Zr 0.387 0.000 0.250
Zr 0.387 0.387 0.750
Zr 0.613 0.000 0.750
Zr 0.613 0.613 0.250
Mn 0.000 0.193 0.750
Mn 0.000 0.807 0.250
Mn 0.193 0.000 0.750
Mn 0.193 0.193 0.250
Mn 0.333 0.667 0.000
Mn 0.333 0.667 0.500
Mn 0.667 0.333 0.000
Mn 0.667 0.333 0.500
Mn 0.807 0.000 0.250
Mn 0.807 0.807 0.750